# 1
Compound: K4RbPd3F12
Source: Alexandria
Functional: PBE-GGA
Structure: optimized geometry

Geometry as CIF:
```
data_K4RbPd3F12
_cell_length_a 9.195
_cell_length_b 9.195
_cell_length_c 9.195
_cell_angle_alpha 90.00
_cell_angle_beta 90.00
_cell_angle_gamma 90.00
_symmetry_space_group_name_H-M 'I m -3'
_symmetry_Int_Tables_number 204
_symmetry_space_group_name_Hall '-I 2 2 3'
loop_
_atom_site_label
_atom_site_type_symbol
_atom_site_fract_x
_atom_site_fract_y
_atom_site_fract_z
K1 K 0.250 0.250 0.250
Rb1 Rb 0.000 0.000 0.000
Pd1 Pd 0.000 0.000 0.500
F1 F 0.000 0.146 0.340
```

Properties
energy relative to the elements, uncorrected	-47.2	kcal/mol of atoms
density of states at the Fermi level	53.71	states/eV/cell

# 2
Compound: Sc4Be3
Source: Alexandria
Functional: PBE-GGA
Structure: optimized geometry

Geometry as CIF:
```
data_Sc4Be3
_cell_length_a 3.010
_cell_length_b 3.010
_cell_length_c 26.729
_cell_angle_alpha 90.00
_cell_angle_beta 90.00
_cell_angle_gamma 90.00
_symmetry_space_group_name_H-M 'I 4/m m m'
_symmetry_Int_Tables_number 139
_symmetry_space_group_name_Hall '-I 4 2'
loop_
_atom_site_label
_atom_site_type_symbol
_atom_site_fract_x
_atom_site_fract_y
_atom_site_fract_z
Sc1 Sc 0.000 0.000 0.062
Sc2 Sc 0.000 0.000 0.340
Be1 Be 0.000 0.000 0.232
Be2 Be 0.000 0.000 0.500
```

Properties
distance to the lowest polymorph of the same formula	0.000	eV per atom
density of states at the Fermi level	17.54	states/eV/cell

# 3
Compound: AcU2MnS8
Source: Alexandria
Functional: PBE-GGA
Structure: optimized geometry

Geometry as CIF:
```
data_AcU2MnS8
_cell_length_a 6.158
_cell_length_b 8.152
_cell_length_c 6.312
_cell_angle_alpha 90.00
_cell_angle_beta 94.44
_cell_angle_gamma 90.00
_symmetry_space_group_name_H-M 'P 1 2/m 1'
_symmetry_Int_Tables_number 10
_symmetry_space_group_name_Hall '-P 2y'
loop_
_atom_site_label
_atom_site_type_symbol
_atom_site_fract_x
_atom_site_fract_y
_atom_site_fract_z
Ac1 Ac 0.000 0.000 0.000
U1 U 0.500 0.259 0.500
Mn1 Mn 0.000 0.500 0.000
S1 S 0.231 0.291 0.173
S2 S 0.289 0.500 0.657
S3 S 0.291 0.000 0.641
```

Properties
energy relative to the elements, uncorrected	-27.5	kcal/mol of atoms
density of states at the Fermi level	7.73	states/eV/cell